# Ta2NiSb (SCAN, PBEsol geometry)
# formation energy from raw total energies = 0.1521 eV per atom
# V = 16.757 A^3/atom
data_Ta2NiSb
_chemical_formula_sum 'Ta4 Ni2 Sb2'
_symmetry_space_group_name_H-M 'C m m m'
_symmetry_Int_Tables_number 65
_symmetry_space_group_name_Hall '-C 2 2'
_cell_length_a 3.8652
_cell_length_b 4.5991
_cell_length_c 7.5413
_cell_angle_alpha 90.00
_cell_angle_beta 90.00
_cell_angle_gamma 90.00
loop_
_atom_site_label
_atom_site_fract_x
_atom_site_fract_y
_atom_site_fract_z
_atom_site_occupancy
Ta1 0.0000 0.0000 0.2156 1
Ni1 0.0000 0.5000 0.0000 1
Sb1 0.0000 0.5000 0.5000 1